TbGe2O6 PBE optimized geometry; uncorrected energy = -6.8208 eV/atom; crystal system = monoclinic; energy relative to the elements, uncorrected = -17.8 eV per formula unit
1.0
5.4696 -4.9061 0.0000
5.4696 4.9061 0.0000
-1.6637 0.0000 5.5094
Tb Ge O
2 4 12
direct
0.1139 0.8861 0.7500
0.8861 0.1139 0.2500
0.2152 0.3534 0.7106
0.3534 0.2152 0.2106
0.6466 0.7848 0.7894
0.7848 0.6466 0.2894
0.0735 0.1626 0.6230
0.0833 0.5693 0.6924
0.1626 0.0735 0.1230
0.3309 0.3819 0.0193
0.3819 0.3309 0.5193
0.4307 0.9167 0.8076
0.5693 0.0833 0.1924
0.6181 0.6691 0.4807
0.6691 0.6181 0.9807
0.8374 0.9265 0.8770
0.9167 0.4307 0.3076
0.9265 0.8374 0.3770